This record from Alexandria describes a geometry-optimized Mo3Os4Ru4 structure. The functional is PBE.

Cell and atoms, written as CIF:
```
data_Mo3Os4Ru4
_chemical_formula_sum 'Mo6 Os8 Ru8'
_cell_length_a 30.4972
_cell_length_b 3.8762
_cell_length_c 2.7331
_cell_angle_alpha 90.00
_cell_angle_beta 95.10
_cell_angle_gamma 90.00
_space_group_name_H-M_alt 'C 1 2/m 1'
_space_group_IT_number 12
loop_
_space_group_symop_operation_xyz
'x,y,z'
'-x,-y,-z'
'-x,y,-z'
'x,-y,z'
'x+1/2,y+1/2,z'
'-x+1/2,-y+1/2,-z'
'-x+1/2,y+1/2,-z'
'x+1/2,-y+1/2,z'
loop_
_atom_site_label
_atom_site_fract_x
_atom_site_fract_y
_atom_site_fract_z
Mo1 0.0000 0.0000 0.0000
Mo2 0.1364 0.5000 0.6363
Os1 0.0908 0.0000 0.0912
Os2 0.2288 0.5000 0.7291
Ru1 0.0470 0.5000 0.5472
Ru2 0.1829 0.0000 0.1825
```

Properties
energy of formation	8.78	kJ per mole of atoms